Record 1
A geometry-optimized Pm6PrNd2Ho structure, computed with GGA-PBE.

Lattice parameters (Å, degrees): 9.880 8.961 8.961 117.86 94.29 94.29
Fractional coordinates of all 20 atoms:
Pm 0.945 0.879 0.253
Pm 0.445 0.253 0.879
Pm 0.620 0.494 0.705
Pm 0.380 0.506 0.295
Pm 0.555 0.747 0.121
Ho 0.250 0.408 0.592
Pm 0.880 0.295 0.506
Ho 0.750 0.592 0.408
Pr 0.750 0.019 0.981
Pm 0.187 0.571 0.016
Nd 0.457 0.803 0.702
Pm 0.313 0.984 0.429
Pm 0.055 0.121 0.747
Nd 0.043 0.298 0.197
Pm 0.813 0.429 0.984
Nd 0.957 0.702 0.803
Pm 0.120 0.705 0.494
Pr 0.250 0.981 0.019
Pm 0.687 0.016 0.571
Nd 0.543 0.197 0.298

Raw total energy in eV/atom: -4.63
Crystal system: monoclinic
Density of states at the Fermi level in states/eV/f.u.: 14.670

Record 2
A geometry-optimized YPu2Ir structure, computed with GGA-PBE.

Lattice parameters (Å, degrees): 3.660 3.660 10.126 79.59 79.59 60.00
Last column: magnetic moment on the atom in μB.
Fractional coordinates of all 4 atoms:
Pu 0.893 0.893 0.320  5.32
Y 0.000 0.000 0.000  0.10
Ir 0.500 0.500 0.500  -0.33
Pu 0.107 0.107 0.680  5.32

Raw total energy in eV/atom: -10.88
Crystal system: trigonal
Density of states at the Fermi level in states/eV/f.u.: 15.006

Record 3
A geometry-optimized RbZrTl structure, computed with GGA-PBE.

Lattice parameters (Å, degrees): 12.346 4.827 4.992 118.91 91.79 90.21
Fractional coordinates of all 6 atoms:
Tl 0.876 0.495 0.492
Tl 0.124 0.505 0.508
Rb 0.678 0.160 0.826
Rb 0.322 0.840 0.174
Zr 0.998 0.846 0.194
Zr 0.002 0.154 0.806

Energy relative to the lowest polymorph listed for this composition in meV/atom: 126
Raw total energy in eV/atom: -3.77
Crystal system: triclinic
Density of states at the Fermi level in states/eV/f.u.: 0.874

Record 4
A geometry-optimized BeZnAsIr structure, computed with GGA-PBE.

Lattice parameters (Å, degrees): 2.798 2.798 7.868 90.00 90.00 90.00
Fractional coordinates of all 4 atoms:
Ir 0.500 0.500 0.963
As 0.000 0.000 0.507
Be 0.000 0.000 0.803
Zn 0.000 0.000 0.190

Energy relative to the lowest polymorph listed for this composition in meV/atom: 26
Raw total energy in eV/atom: -4.78
Crystal system: tetragonal
Density of states at the Fermi level in states/eV/f.u.: 1.482

Record 5
A geometry-optimized AlSiSe structure, computed with GGA-PBE.

Lattice parameters (Å, degrees): 5.687 5.687 5.687 145.16 145.16 50.10
Fractional coordinates of all 3 atoms:
Si 0.621 0.621 0.000
Al 0.003 0.003 0.000
Se 0.376 0.376 0.000

Formation energy (no corrections) in eV per formula unit: 0.35
Raw total energy in eV/atom: -4.10
Crystal system: tetragonal
Density of states at the Fermi level in states/eV/f.u.: 0.829

Record 6
A geometry-optimized Tb2SmHo4 structure, computed with GGA-PBE.

Lattice parameters (Å, degrees): 6.033 6.582 11.656 90.00 106.05 90.00
Fractional coordinates of all 14 atoms:
Sm 0.827 0.250 0.862
Ho 0.636 0.492 0.290
Tb 0.289 0.250 0.448
Ho 0.364 0.992 0.710
Ho 0.981 0.750 0.837
Ho 0.144 0.750 0.423
Ho 0.364 0.508 0.710
Tb 0.391 0.250 0.991
Ho 0.019 0.250 0.163
Sm 0.173 0.750 0.138
Tb 0.609 0.750 0.009
Ho 0.636 0.008 0.290
Tb 0.711 0.750 0.552
Ho 0.856 0.250 0.577

Energy relative to the lowest polymorph listed for this composition in meV/atom: 93
Raw total energy in eV/atom: -4.48
Crystal system: monoclinic
Density of states at the Fermi level in states/eV/f.u.: 11.744

Record 7
A geometry-optimized Ca2AlSn3 structure, computed with GGA-PBE.

Lattice parameters (Å, degrees): 3.494 4.715 9.779 90.00 90.00 90.00
Fractional coordinates of all 6 atoms:
Al 0.500 0.500 0.336
Sn 0.500 0.500 0.641
Ca 0.000 0.500 0.016
Ca 0.000 0.000 0.487
Sn 0.500 0.000 0.838
Sn 0.500 0.000 0.182

Raw total energy in eV/atom: -3.64
Crystal system: orthorhombic
Density of states at the Fermi level in states/eV/f.u.: 3.618

Record 8
A geometry-optimized Tl4InCl structure, computed with GGA-PBE.

Lattice parameters (Å, degrees): 6.474 6.474 6.474 60.00 60.00 60.00
Fractional coordinates of all 6 atoms:
Cl 0.750 0.750 0.750
In 0.000 0.000 0.000
Tl 0.375 0.875 0.375
Tl 0.375 0.375 0.875
Tl 0.375 0.375 0.375
Tl 0.875 0.375 0.375

Formation energy (no corrections) in eV per formula unit: -0.34
Raw total energy in eV/atom: -2.40
Crystal system: cubic
Density of states at the Fermi level in states/eV/f.u.: 3.728

Record 9
A geometry-optimized Tm3AgRu structure, computed with GGA-PBE.

Lattice parameters (Å, degrees): 5.794 5.794 8.345 101.96 101.96 113.77
Fractional coordinates of all 10 atoms:
Ag 0.288 0.788 0.500
Ag 0.712 0.212 0.500
Tm 0.307 0.807 0.114
Tm 0.928 0.793 0.721
Ru 0.250 0.250 0.000
Tm 0.072 0.207 0.279
Tm 0.293 0.428 0.721
Tm 0.693 0.193 0.886
Ru 0.750 0.750 0.000
Tm 0.707 0.572 0.279

Raw total energy in eV/atom: -5.48
Crystal system: orthorhombic
Density of states at the Fermi level in states/eV/f.u.: 3.736

Record 10
A geometry-optimized CeTh2PaP4 structure, computed with GGA-PBE.

Lattice parameters (Å, degrees): 4.087 7.080 7.055 109.54 90.00 90.00
Fractional coordinates of all 8 atoms:
P 0.000 0.742 0.239
P 0.000 0.258 0.761
Ce 0.000 0.000 0.000
P 0.500 0.748 0.759
Th 0.000 0.500 0.500
Th 0.500 0.000 0.500
Pa 0.500 0.500 0.000
P 0.500 0.252 0.241

Raw total energy in eV/atom: -7.97
Crystal system: monoclinic
Density of states at the Fermi level in states/eV/f.u.: 7.826

Record 11
A geometry-optimized CuTcNF2 structure, computed with GGA-PBE.

Lattice parameters (Å, degrees): 3.775 3.775 4.220 90.00 90.00 90.00
Last column: magnetic moment on the atom in μB.
Fractional coordinates of all 5 atoms:
Cu 0.000 0.000 0.000  -0.28
F 0.500 0.000 0.000  0.02
Tc 0.500 0.500 0.500  3.81
N 0.000 0.000 0.500  -0.17
F 0.000 0.500 0.000  0.02

Energy relative to the lowest polymorph listed for this composition in meV/atom: 540
Formation energy (no corrections) in eV per formula unit: 0.96
Raw total energy in eV/atom: -5.11
Crystal system: tetragonal
Density of states at the Fermi level in states/eV/f.u.: 1.601

Record 12
A geometry-optimized LiAsSe2Cl structure, computed with GGA-PBE.

Lattice parameters (Å, degrees): 4.466 4.466 5.313 90.00 90.00 90.00
Fractional coordinates of all 5 atoms:
As 0.000 0.000 0.500
Li 0.000 0.000 0.000
Cl 0.500 0.500 0.500
Se 0.500 0.000 0.000
Se 0.000 0.500 0.000

Energy relative to the lowest polymorph listed for this composition in meV/atom: 0
Formation energy (no corrections) in eV per formula unit: 1.90
Raw total energy in eV/atom: -2.70
Crystal system: tetragonal
Density of states at the Fermi level in states/eV/f.u.: 2.991

Record 13
A geometry-optimized SiAgCl4 structure, computed with GGA-PBE.

Lattice parameters (Å, degrees): 5.860 5.860 5.860 60.00 60.00 60.00
Last column: magnetic moment on the atom in μB.
Fractional coordinates of all 6 atoms:
Cl 0.374 0.877 0.374  0.35
Cl 0.877 0.374 0.374  0.35
Cl 0.374 0.374 0.374  0.35
Cl 0.374 0.374 0.877  0.35
Ag 0.000 0.000 0.000  -0.01
Si 0.750 0.750 0.750  -0.01

Energy relative to the lowest polymorph listed for this composition in meV/atom: 1362
Formation energy (no corrections) in eV per formula unit: 4.62
Raw total energy in eV/atom: -1.84
Crystal system: cubic
Density of states at the Fermi level in states/eV/f.u.: 4.262

Record 14
A geometry-optimized NaCdRe2Bi structure, computed with GGA-PBE.

Lattice parameters (Å, degrees): 4.868 4.801 4.868 90.00 90.00 90.00
Last column: magnetic moment on the atom in μB.
Fractional coordinates of all 5 atoms:
Na 0.000 0.000 0.000  0.03
Re 0.500 0.000 0.000  2.01
Re 0.000 0.000 0.500  2.08
Bi 0.500 0.500 0.500  -0.13
Cd 0.000 0.500 0.000  -0.04

Raw total energy in eV/atom: -3.86
Crystal system: tetragonal
Density of states at the Fermi level in states/eV/f.u.: 4.238

Record 15
A geometry-optimized SiTeW2 structure, computed with GGA-PBE.

Lattice parameters (Å, degrees): 4.172 3.417 5.536 77.44 90.00 90.00
Fractional coordinates of all 4 atoms:
Te 0.500 0.750 0.750
W 0.000 0.046 0.073
Si 0.500 0.250 0.250
W 0.000 0.454 0.427

Energy relative to the lowest polymorph listed for this composition in meV/atom: 326
Formation energy (no corrections) in eV per formula unit: 2.48
Raw total energy in eV/atom: -8.00
Crystal system: monoclinic
Density of states at the Fermi level in states/eV/f.u.: 1.993

Record 16
A geometry-optimized Ti4Te structure, computed with GGA-PBE.

Lattice parameters (Å, degrees): 5.692 5.692 7.242 113.14 113.14 90.00
Fractional coordinates of all 10 atoms:
Ti 0.036 0.879 0.349
Ti 0.436 0.779 0.151
Ti 0.529 0.964 0.651
Te 0.000 0.000 0.000
Ti 0.221 0.286 0.849
Ti 0.314 0.471 0.349
Ti 0.629 0.564 0.849
Ti 0.121 0.686 0.651
Te 0.750 0.250 0.500
Ti 0.714 0.371 0.151

Energy relative to the lowest polymorph listed for this composition in meV/atom: 0
Formation energy (no corrections) in eV per formula unit: -0.82
Raw total energy in eV/atom: -7.11
Crystal system: tetragonal
Density of states at the Fermi level in states/eV/f.u.: 4.859

Record 17
A geometry-optimized NpCu5Pt6 structure, computed with GGA-PBE.

Lattice parameters (Å, degrees): 4.023 7.497 6.313 90.00 71.42 90.00
Last column: magnetic moment on the atom in μB.
Fractional coordinates of all 12 atoms:
Cu 0.680 0.000 0.640  0.00
Pt 0.831 0.739 0.338  -0.06
Np 0.000 0.000 0.000  2.79
Pt 0.500 0.256 0.000  -0.08
Cu 0.337 0.500 0.325  -0.01
Cu 0.320 0.000 0.360  0.00
Pt 0.831 0.261 0.338  -0.06
Cu 0.663 0.500 0.675  -0.01
Pt 0.169 0.739 0.662  -0.06
Pt 0.169 0.261 0.662  -0.06
Cu 0.000 0.500 0.000  -0.01
Pt 0.500 0.744 0.000  -0.08

Raw total energy in eV/atom: -6.07
Crystal system: orthorhombic
Density of states at the Fermi level in states/eV/f.u.: 12.837

Record 18
A geometry-optimized Tb7Pr6 structure, computed with GGA-PBE.

Lattice parameters (Å, degrees): 6.701 6.701 12.333 74.24 74.24 60.00
Last column: magnetic moment on the atom in μB.
Fractional coordinates of all 13 atoms:
Tb 0.583 0.087 0.242  0.17
Pr 0.548 0.548 0.356  0.25
Tb 0.087 0.583 0.242  0.17
Pr 0.652 0.652 0.045  0.36
Pr 0.833 0.833 0.500  0.14
Tb 0.913 0.417 0.758  0.17
Pr 0.348 0.348 0.955  0.36
Tb 0.913 0.913 0.758  0.17
Tb 0.087 0.087 0.242  0.17
Pr 0.452 0.452 0.644  0.25
Pr 0.167 0.167 0.500  0.14
Tb 0.417 0.913 0.758  0.17
Tb 0.000 0.000 0.000  0.41

Raw total energy in eV/atom: -4.45
Crystal system: trigonal
Density of states at the Fermi level in states/eV/f.u.: 30.102

Record 19
A geometry-optimized Rb2GeOsO6 structure, computed with GGA-PBE.

Lattice parameters (Å, degrees): 5.595 5.595 5.598 60.06 60.06 90.07
Last column: magnetic moment on the atom in μB.
Fractional coordinates of all 10 atoms:
Rb 0.250 0.750 0.500  0.01
O 0.250 0.250 0.000  0.08
O 0.751 0.751 0.498  0.09
O 0.750 0.750 0.000  0.08
Os 0.000 0.000 0.000  1.14
Ge 0.500 0.500 0.000  0.01
O 0.751 0.249 0.000  0.08
O 0.249 0.751 0.000  0.08
O 0.249 0.249 0.502  0.09
Rb 0.750 0.250 0.500  0.01

Formation energy (no corrections) in eV per formula unit: -11.50
Raw total energy in eV/atom: -5.90
Crystal system: tetragonal
Density of states at the Fermi level in states/eV/f.u.: 4.405

Record 20
A geometry-optimized RbCrPtCl2 structure, computed with GGA-PBE.

Lattice parameters (Å, degrees): 5.810 5.272 5.810 90.00 90.00 90.00
Last column: magnetic moment on the atom in μB.
Fractional coordinates of all 5 atoms:
Cr 0.500 0.500 0.500  4.30
Cl 0.500 0.000 0.000  -0.03
Pt 0.000 0.500 0.000  -0.36
Cl 0.000 0.000 0.500  -0.04
Rb 0.000 0.000 0.000  0.00

Formation energy (no corrections) in eV per formula unit: 4.14
Raw total energy in eV/atom: -3.24
Crystal system: tetragonal
Density of states at the Fermi level in states/eV/f.u.: 7.158